## YEr2Al3Cu3 (GGA-PBE)

Data for a geometry-optimized YEr2Al3Cu3 structure.

Its space-group type is No. 38. As for the total energy: -4.68 eV/atom.

abc: 3.9801 7.0282 7.0282
angles: 120.13 90.00 90.00
Fractional coordinates of all 9 atoms:
Al 0.5000 0.7636 0.0008
Al 0.5000 0.2362 0.2362
Al 0.5000 0.0008 0.7636
Cu 0.0000 0.0021 0.0021
Cu 0.5000 0.6678 0.3308
Cu 0.5000 0.3308 0.6678
Er 0.0000 0.9997 0.4140
Er 0.0000 0.4140 0.9997
Y 0.0000 0.5850 0.5850